# GGA-PBE CdInI4, optimized geometry
# **N(E_F)**: 3.41 states/eV/f.u.
# **E_tot**: -12.69 eV/f.u.
# **Formation energy from raw total energies**: -0.47 eV/atom
# **Relative energy among the computed polymorphs**: 0.00 kJ/mol of atoms
# **Total moment**: 0.0 μB/cell
# **Calculated volume**: 41.40 A^3/atom
data_CdInI4
_space_group_name_H-M_alt 'C 1 2/m 1'
_space_group_IT_number 12
_cell_length_a 16.717
_cell_length_b 4.322
_cell_length_c 7.727
_cell_angle_alpha 90.00
_cell_angle_beta 117.14
_cell_angle_gamma 90.00
loop_
_space_group_symop_operation_xyz
'x,y,z'
'-x,-y,-z'
'-x,y,-z'
'x,-y,z'
'x+1/2,y+1/2,z'
'-x+1/2,-y+1/2,-z'
'-x+1/2,y+1/2,-z'
'x+1/2,-y+1/2,z'
loop_
_atom_site_label
_atom_site_fract_x
_atom_site_fract_y
_atom_site_fract_z
Cd1 0.000 0.000 0.000
In1 0.000 0.500 0.500
I1 0.118 0.500 0.961
I2 0.122 0.000 0.439